VASP calculation (SCAN) on a PBEsol-optimized structure of Al2CdAg.

a = 2.9737 Å, b = 2.9737 Å, c = 27.3996 Å
α = 90.00°, β = 90.00°, γ = 120.00°
Sites, in units of the cell vectors:
Al 0.0000 0.0000 0.2451
Al 0.0000 0.0000 0.7549
Al 0.3333 0.6667 0.4216
Al 0.3333 0.6667 0.9117
Al 0.6667 0.3333 0.0883
Al 0.6667 0.3333 0.5784
Cd 0.0000 0.0000 0.0000
Cd 0.3333 0.6667 0.6667
Cd 0.6667 0.3333 0.3333
Ag 0.0000 0.0000 0.5000
Ag 0.3333 0.6667 0.1667
Ag 0.6667 0.3333 0.8333

* D(E_F): 4.2 states/eV per cell
* energy: -0.710 hartree per atom
* space-group type: R-3m
* formation energy: 0.01 eV per atom